1.
PrIn2F11: relaxed, GGA-PBE.

Cell lengths 8.141, 10.263, 11.312 Å; angles 90.00, 90.00, 90.00 degrees
Space group Ibam (No. 72)
Unique sites:
1 Pr 0.000 0.000 0.250 (multiplicity 4)
2 In 0.164 0.308 0.000 (multiplicity 8)
3 F 0.000 0.500 0.000 (multiplicity 4)
4 F 0.104 0.307 0.500 (multiplicity 8)
5 F 0.108 0.176 0.137 (multiplicity 16)
6 F 0.220 0.080 0.371 (multiplicity 16)

Calculated total energy (eV/cell): -263.1
Density of states at the Fermi level (states/eV per atom): 0.95


2.
In3PtF: relaxed, GGA-PBE.

Cell lengths 4.834, 4.834, 4.834 Å; angles 90.00, 90.00, 90.00 degrees
Space group Pm-3m (No. 221)
Unique sites:
1 In 0.000 0.000 0.500 (multiplicity 3)
2 Pt 0.500 0.500 0.500 (multiplicity 1)
3 F 0.000 0.000 0.000 (multiplicity 1)

Calculated total energy (eV/cell): -17.7
Energy above the lowest structure with this stoichiometry (meV per atom): 402
Density of states at the Fermi level (states/eV per atom): 0.17


3.
In2PtF: relaxed, GGA-PBE.

Cell lengths 5.773, 5.773, 12.239 Å; angles 90.00, 90.00, 90.00 degrees
Space group I-42d (No. 122)
Unique sites:
1 In 0.232 0.250 0.125 (multiplicity 8)
2 Pt 0.000 0.000 0.500 (multiplicity 4)
3 F 0.000 0.000 0.000 (multiplicity 4)

Calculated total energy (eV/cell): -65.5
Energy above the lowest structure with this stoichiometry (meV per atom): 103
Density of states at the Fermi level (states/eV per atom): 0.31


4.
In3PtF: relaxed, GGA-PBE.

Cell lengths 5.169, 5.169, 5.169 Å; angles 90.00, 90.00, 90.00 degrees
Space group Pm-3m (No. 221)
Unique sites:
1 In 0.000 0.000 0.500 (multiplicity 3)
2 Pt 0.000 0.000 0.000 (multiplicity 1)
3 F 0.500 0.500 0.500 (multiplicity 1)

Calculated total energy (eV/cell): -19.7
Energy above the lowest structure with this stoichiometry (meV per atom): 0
Density of states at the Fermi level (states/eV per atom): 0.01


5.
In2PtF: relaxed, GGA-PBE.

Cell lengths 6.603, 6.603, 6.603 Å; angles 90.00, 90.00, 90.00 degrees
Space group Fm-3m (No. 225)
Unique sites:
1 In 0.250 0.250 0.250 (multiplicity 8)
2 Pt 0.000 0.000 0.000 (multiplicity 4)
3 F 0.000 0.000 0.500 (multiplicity 4)

Calculated total energy (eV/cell): -67.2
Energy above the lowest structure with this stoichiometry (meV per atom): 0
Density of states at the Fermi level (states/eV per atom): 0.31


6.
Rb2InPtF6: relaxed, GGA-PBE.

Cell lengths 6.730, 6.730, 8.512 Å; angles 90.00, 90.00, 90.00 degrees
Space group I4/mmm (No. 139)
Unique sites:
1 Rb 0.000 0.500 0.250 (multiplicity 4)
2 In 0.000 0.000 0.000 (multiplicity 2)
3 Pt 0.000 0.000 0.500 (multiplicity 2)
4 F 0.000 0.000 0.256 (multiplicity 4)
5 F 0.219 0.219 0.000 (multiplicity 8)

Calculated total energy (eV/cell): -84.8
Density of states at the Fermi level (states/eV per atom): 0.14


7.
In2RuPtF: relaxed, GGA-PBE.

Cell lengths 5.224, 5.224, 4.657 Å; angles 90.00, 90.00, 90.00 degrees
Space group P4/mmm (No. 123)
Unique sites:
1 In 0.000 0.500 0.000 (multiplicity 2)
2 Ru 0.000 0.000 0.000 (multiplicity 1)
3 Pt 0.000 0.000 0.500 (multiplicity 1)
4 F 0.500 0.500 0.500 (multiplicity 1)

Calculated total energy (eV/cell): -22.3
Density of states at the Fermi level (states/eV per atom): 0.57


8.
InPtSeF2: relaxed, GGA-PBE.

Cell lengths 4.015, 4.015, 5.780 Å; angles 90.00, 90.00, 90.00 degrees
Space group P4/mmm (No. 123)
Unique sites:
1 In 0.000 0.000 0.000 (multiplicity 1)
2 Pt 0.000 0.000 0.500 (multiplicity 1)
3 Se 0.500 0.500 0.500 (multiplicity 1)
4 F 0.000 0.500 0.000 (multiplicity 2)

Calculated total energy (eV/cell): -21.0
Density of states at the Fermi level (states/eV per atom): 0.46